[1]
Compound: KCu3N
Source: Alexandria via LeMat-Bulk
Functional: GGA-PBE
Structure: optimized geometry

```
KCu3N
1.0
4.218 0.000 0.000
0.000 4.218 0.000
0.000 0.000 4.218
K Cu N
1 3 1
Cartesian
0.000 0.000 0.000
0.000 2.109 2.109
2.109 0.000 2.109
2.109 2.109 0.000
2.109 2.109 2.109
```

Calculated values
Spin magnetization ... 0.000 μB/atom
ΔE to the lowest computed polymorph ... 0.0 meV per atom
Crystal system ... cubic
Formation energy (no corrections) ... 58 kJ per mole of atoms
Space group ... Pm-3m

[2]
Compound: KCuN2O
Source: Alexandria via LeMat-Bulk
Functional: GGA-PBE
Structure: optimized geometry

```
KCuN2O
1.0
4.585 0.000 0.000
0.000 4.585 0.000
0.000 0.000 4.499
K Cu N O
1 1 2 1
Cartesian
0.000 0.000 0.000
2.293 2.293 2.249
0.000 2.293 0.000
2.293 0.000 0.000
0.000 0.000 2.249
```

Calculated values
Spin magnetization ... 0.129 μB/atom
Crystal system ... tetragonal
Formation energy (no corrections) ... 277 kJ per mole of atoms
Space group ... P4/mmm

[3]
Compound: KCu2NO
Source: Alexandria via LeMat-Bulk
Functional: GGA-PBE
Structure: optimized geometry

```
KCu2NO
1.0
5.360 0.000 0.000
0.000 5.360 0.000
0.000 0.000 4.425
K Cu N O
1 2 1 1
Cartesian
0.000 0.000 0.000
0.000 2.680 0.000
2.680 0.000 0.000
2.680 2.680 2.213
0.000 0.000 2.213
```

Calculated values
Spin magnetization ... 0.477 μB/atom
Crystal system ... tetragonal
Formation energy (no corrections) ... 214 kJ per mole of atoms
Space group ... P4/mmm

[4]
Compound: KCuN2O
Source: Alexandria via LeMat-Bulk
Functional: GGA-PBE
Structure: optimized geometry

```
KCuN2O
1.0
3.960 0.000 0.000
0.000 3.960 0.000
0.000 0.000 4.176
K Cu N O
1 1 2 1
Cartesian
0.000 0.000 0.000
1.980 1.980 2.088
0.000 1.980 2.088
1.980 0.000 2.088
1.980 1.980 0.000
```

Calculated values
Spin magnetization ... 0.809 μB/atom
Crystal system ... tetragonal
Formation energy (no corrections) ... 97 kJ per mole of atoms
Space group ... P4/mmm

[5]
Compound: KPa2CuN4
Source: Alexandria via LeMat-Bulk
Functional: GGA-PBE
Structure: optimized geometry

```
KPa2CuN4
1.0
-2.838 2.838 4.169
2.838 -2.838 4.169
2.838 2.838 -4.169
K Pa Cu N
1 2 1 4
Cartesian
0.000 0.000 0.000
2.838 0.000 2.084
0.000 2.838 2.084
0.000 0.000 4.169
1.197 -1.197 2.912
1.640 1.640 1.257
-1.197 1.197 2.912
1.197 1.197 5.426
```

Calculated values
Spin magnetization ... 0.000 μB/atom
Crystal system ... tetragonal
Formation energy (no corrections) ... -61 kJ per mole of atoms
Space group ... I-42m

[6]
Compound: KCuS2N
Source: Alexandria via LeMat-Bulk
Functional: GGA-PBE
Structure: optimized geometry

```
KCuS2N
1.0
5.388 0.000 0.000
0.000 5.388 0.000
0.000 0.000 4.437
K Cu S N
1 1 2 1
Cartesian
0.000 0.000 0.000
2.694 2.694 2.219
0.000 2.694 0.000
2.694 0.000 0.000
0.000 0.000 2.219
```

Calculated values
Spin magnetization ... 0.028 μB/atom
ΔE to the lowest computed polymorph ... 1668.4 meV per atom
Crystal system ... tetragonal
Formation energy (no corrections) ... 216 kJ per mole of atoms
Space group ... P4/mmm